Record 1
Ca5ZnAu6 | PBE-GGA | optimized geometry

a b c (Å): 8.640 8.640 5.100
angles (deg): 106.29 106.29 49.37
Positions (direct):
Ca1 0.000 0.000 0.000
Ca2 0.168 0.168 0.668
Ca3 0.335 0.335 0.328
Ca4 0.665 0.665 0.672
Ca5 0.832 0.832 0.332
Zn1 0.500 0.500 0.000
Au1 0.109 0.578 0.836
Au2 0.254 0.746 0.500
Au3 0.422 0.891 0.164
Au4 0.578 0.109 0.836
Au5 0.746 0.254 0.500
Au6 0.891 0.422 0.164

Its density of states at the Fermi level is 0.5515 states/eV per atom. As for the total energy: -3.26 eV per atom. The magnetization is 0.00 μB/f.u. As for the energy of formation from the pure elements: -0.6813 eV per atom.

Record 2
Ca2ZnAu7 | PBE-GGA | optimized geometry

a b c (Å): 4.000 4.000 13.445
angles (deg): 90.00 90.00 90.00
Positions (direct):
Ca1 0.000 0.500 0.249
Ca2 0.500 0.000 0.751
Zn1 0.000 0.000 0.500
Au1 0.000 0.000 0.000
Au2 0.000 0.500 0.646
Au3 0.000 0.500 0.847
Au4 0.500 0.000 0.153
Au5 0.500 0.000 0.354
Au6 0.500 0.500 0.000
Au7 0.500 0.500 0.500

Its density of states at the Fermi level is 0.4994 states/eV per atom. As for the total energy: -3.27 eV per atom. The magnetization is 0.00 μB/f.u. As for the energy of formation from the pure elements: -0.4486 eV per atom.